[1]
Density functional theory data (GGA-PBE) for TaIr6W after structural relaxation.

The structure belongs to space group P4/mmm (No. 123); the cell edges are 5.537, 5.537 and 3.904 Å and the angles 90.00°, 90.00° and 90.00°. Symmetry generates all atoms from Ta at (0.000, 0.000, 0.000), Ir at (0.000, 0.500, 0.000), Ir at (0.253, 0.253, 0.500) and W at (0.500, 0.500, 0.000).

The value obtained for the formation energy is -489 meV/atom. The density of states at the Fermi level comes out at 2.6 states/eV/cell. The magnetization comes out at 0.0 Bohr magnetons per cell.

[2]
Density functional theory data (GGA-PBE) for Ta4IrW3 after structural relaxation.

The structure belongs to space group Pmmm (No. 47); the cell edges are 3.244, 4.570 and 9.100 Å and the angles 90.00°, 90.00° and 90.00°. Symmetry generates all atoms from Ta at (0.000, 0.000, 0.000), Ta at (0.000, 0.000, 0.500), Ta at (0.000, 0.500, 0.250), Ir at (0.500, 0.500, 0.000), W at (0.500, 0.000, 0.246) and W at (0.500, 0.500, 0.500).

The value obtained for the formation energy is -249 meV/atom. The density of states at the Fermi level comes out at 3.0 states/eV/cell. The magnetization comes out at 0.0 Bohr magnetons per cell.

[3]
Density functional theory data (GGA-PBE) for Ta6IrW5 after structural relaxation.

The structure belongs to space group Immm (No. 71); the cell edges are 4.577, 6.461 and 13.712 Å and the angles 90.00°, 90.00° and 90.00°. Symmetry generates all atoms from Ta at (0.000, 0.248, 0.000), Ta at (0.000, 0.251, 0.333), Ir at (0.000, 0.000, 0.500), W at (0.000, 0.000, 0.167), W at (0.000, 0.500, 0.166) and W at (0.000, 0.500, 0.500).

The value obtained for the formation energy is -222 meV/atom. The density of states at the Fermi level comes out at 11.4 states/eV/cell. The magnetization comes out at 0.0 Bohr magnetons per cell.

[4]
Density functional theory data (GGA-PBE) for YTa2Ir2 after structural relaxation.

The structure belongs to space group I4/mmm (No. 139); the cell edges are 4.426, 4.426 and 10.561 Å and the angles 90.00°, 90.00° and 90.00°. Symmetry generates all atoms from Y at (0.000, 0.000, 0.000), Ta at (0.000, 0.500, 0.250) and Ir at (0.000, 0.000, 0.376).

The value obtained for the formation energy is -628 meV/atom. The density of states at the Fermi level comes out at 6.5 states/eV/cell. The value obtained for the relative energy among the computed polymorphs is 0 meV/atom. The magnetization comes out at 0.0 Bohr magnetons per cell.

[5]
Density functional theory data (GGA-PBE) for YTaIr4 after structural relaxation.

The structure belongs to space group F-43m (No. 216); the cell edges are 7.441, 7.441 and 7.441 Å and the angles 90.00°, 90.00° and 90.00°. Symmetry generates all atoms from Y at (0.000, 0.000, 0.000), Ta at (0.250, 0.250, 0.250) and Ir at (0.125, 0.125, 0.625).

The value obtained for the formation energy is -411 meV/atom. The density of states at the Fermi level comes out at 19.2 states/eV/cell. The magnetization comes out at 0.0 Bohr magnetons per cell.

[6]
Density functional theory data (GGA-PBE) for YTaIr3 after structural relaxation.

The structure belongs to space group Pm-3m (No. 221); the cell edges are 4.803, 4.803 and 4.803 Å and the angles 90.00°, 90.00° and 90.00°. Symmetry generates all atoms from Y at (0.000, 0.000, 0.000), Ta at (0.500, 0.500, 0.500) and Ir at (0.000, 0.500, 0.500).

The value obtained for the formation energy is 452 meV/atom. The density of states at the Fermi level comes out at 4.6 states/eV/cell. The value obtained for the relative energy among the computed polymorphs is 0 meV/atom. The magnetization comes out at 0.0 Bohr magnetons per cell.

[7]
Density functional theory data (GGA-PBE) for YTa2Ir2 after structural relaxation.

The structure belongs to space group P4/mbm (No. 127); the cell edges are 7.881, 7.881 and 3.000 Å and the angles 90.00°, 90.00° and 90.00°. Symmetry generates all atoms from Y at (0.000, 0.000, 0.000), Ta at (0.160, 0.340, 0.500) and Ir at (0.131, 0.631, 0.000).

The value obtained for the formation energy is -381 meV/atom. The density of states at the Fermi level comes out at 13.1 states/eV/cell. The value obtained for the relative energy among the computed polymorphs is 247 meV/atom. The magnetization comes out at 0.0 Bohr magnetons per cell.

[8]
Density functional theory data (GGA-PBE) for YTa4Ir after structural relaxation.

The structure belongs to space group F-43m (No. 216); the cell edges are 7.790, 7.790 and 7.790 Å and the angles 90.00°, 90.00° and 90.00°. Symmetry generates all atoms from Y at (0.000, 0.000, 0.000), Ta at (0.126, 0.126, 0.374) and Ir at (0.250, 0.250, 0.750).

The value obtained for the formation energy is 201 meV/atom. The density of states at the Fermi level comes out at 20.8 states/eV/cell. The magnetization comes out at 0.0 Bohr magnetons per cell.

[9]
Density functional theory data (GGA-PBE) for YTa2Ir2 after structural relaxation.

The structure belongs to space group P4/mbm (No. 127); the cell edges are 8.015, 8.015 and 2.874 Å and the angles 90.00°, 90.00° and 90.00°. Symmetry generates all atoms from Y at (0.000, 0.000, 0.000), Ta at (0.140, 0.360, 0.000) and Ir at (0.154, 0.654, 0.500).

The value obtained for the formation energy is -398 meV/atom. The density of states at the Fermi level comes out at 8.2 states/eV/cell. The value obtained for the relative energy among the computed polymorphs is 229 meV/atom. The magnetization comes out at 0.0 Bohr magnetons per cell.

[10]
Density functional theory data (GGA-PBE) for Y4TaIr after structural relaxation.

The structure belongs to space group F-43m (No. 216); the cell edges are 8.405, 8.405 and 8.405 Å and the angles 90.00°, 90.00° and 90.00°. Symmetry generates all atoms from Y at (0.125, 0.125, 0.125), Ta at (0.000, 0.000, 0.500) and Ir at (0.250, 0.250, 0.750).

The value obtained for the formation energy is 900 meV/atom. The density of states at the Fermi level comes out at 34.4 states/eV/cell. The magnetization comes out at 5.2 Bohr magnetons per cell.

[11]
Density functional theory data (GGA-PBE) for YTa2Ir2 after structural relaxation.

The structure belongs to space group I4/mmm (No. 139); the cell edges are 4.329, 4.329 and 11.246 Å and the angles 90.00°, 90.00° and 90.00°. Symmetry generates all atoms from Y at (0.000, 0.000, 0.000), Ta at (0.000, 0.000, 0.375) and Ir at (0.000, 0.500, 0.250).

The value obtained for the formation energy is -151 meV/atom. The density of states at the Fermi level comes out at 18.1 states/eV/cell. The value obtained for the relative energy among the computed polymorphs is 477 meV/atom. The magnetization comes out at 0.0 Bohr magnetons per cell.

[12]
Density functional theory data (GGA-PBE) for YZrTa2Ir after structural relaxation.

The structure belongs to space group P4/mmm (No. 123); the cell edges are 4.798, 4.798 and 5.253 Å and the angles 90.00°, 90.00° and 90.00°. Symmetry generates all atoms from Y at (0.000, 0.000, 0.000), Zr at (0.000, 0.000, 0.500), Ta at (0.000, 0.500, 0.500) and Ir at (0.500, 0.500, 0.000).

The value obtained for the formation energy is 1835 meV/atom. The density of states at the Fermi level comes out at 6.5 states/eV/cell. The magnetization comes out at 0.0 Bohr magnetons per cell.

Q: Among the records above, which one has the lowest formation energy?
A: number 4